Here is a geometry-optimized Te2MoPt structure from Alexandria. Energies are from PBE-GGA.

Properties
Relative energy among the computed polymorphs ... 721 meV/atom
Crystal system ... orthorhombic

```
8
Lattice="3.466 0.000 0.000 0.000 5.305 0.000 0.000 0.000 9.006" Properties=species:S:1:pos:R:3 pbc="T T T"
Te 0.000 0.000 2.166
Te 0.000 0.000 6.840
Te 1.733 2.652 2.166
Te 1.733 2.652 6.840
Mo 0.000 2.652 0.000
Mo 1.733 0.000 0.000
Pt 0.000 2.652 4.503
Pt 1.733 0.000 4.503
```